# Mg2HgMo SCAN PBEsol geometry
# Density of states at the Fermi level in states/eV/atom: 0.571
# VASP energy in eV/atom: -28.00
# Theoretical density in g/cm3: 7.918
data_Mg2HgMo
_chemical_formula_sum 'Mg4 Hg2 Mo2'
_symmetry_space_group_name_H-M 'I m m m'
_symmetry_Int_Tables_number 71
_symmetry_space_group_name_Hall '-I 2 2'
_cell_length_a 3.035
_cell_length_b 4.959
_cell_length_c 9.617
_cell_angle_alpha 90.00
_cell_angle_beta 90.00
_cell_angle_gamma 90.00
loop_
_atom_site_label
_atom_site_fract_x
_atom_site_fract_y
_atom_site_fract_z
Mg1 0.000 0.000 0.247
Hg1 0.000 0.500 0.500
Mo1 0.000 0.500 0.000



# MgHg2Mo SCAN PBEsol geometry
# Density of states at the Fermi level in states/eV/atom: 0.529
# VASP energy in eV/atom: -43.68
# Theoretical density in g/cm3: 11.570
data_MgHg2Mo
_chemical_formula_sum 'Mg1 Hg2 Mo1'
_symmetry_space_group_name_H-M 'P 4 m m'
_symmetry_Int_Tables_number 99
_cell_length_a 3.501
_cell_length_b 3.501
_cell_length_c 6.106
_cell_angle_alpha 90.00
_cell_angle_beta 90.00
_cell_angle_gamma 90.00
loop_
_symmetry_equiv_pos_as_xyz
'x,y,z'
'-y,x,z'
'-x,-y,z'
'y,-x,z'
'-x,y,z'
'y,x,z'
'x,-y,z'
'-y,-x,z'
loop_
_atom_site_label
_atom_site_fract_x
_atom_site_fract_y
_atom_site_fract_z
Mg1 0.000 0.000 0.000
Hg1 0.000 0.000 0.468
Hg2 0.500 0.500 0.754
Mo1 0.500 0.500 0.246



# MgHgMo2 SCAN PBEsol geometry
# Density of states at the Fermi level in states/eV/atom: 0.481
# VASP energy in eV/atom: -35.46
# Theoretical density in g/cm3: 10.437
# Relative energy among the computed polymorphs in meV/atom: 0
data_MgHgMo2
_chemical_formula_sum 'Mg1 Hg1 Mo2'
_symmetry_space_group_name_H-M 'P 4/m m m'
_symmetry_Int_Tables_number 123
_symmetry_space_group_name_Hall '-P 4 2'
_cell_length_a 3.799
_cell_length_b 3.799
_cell_length_c 4.594
_cell_angle_alpha 90.00
_cell_angle_beta 90.00
_cell_angle_gamma 90.00
loop_
_atom_site_label
_atom_site_fract_x
_atom_site_fract_y
_atom_site_fract_z
Mg1 0.000 0.000 0.000
Hg1 0.500 0.500 0.000
Mo1 0.000 0.500 0.500